DFT (PBE) results for a geometry-optimized Li2AlGa structure.

a = 10.0332 Å, b = 10.0332 Å, c = 10.0332 Å
α = 157.76°, β = 157.76°, γ = 31.66°
Last column: nearest neighbours and their distance in Å.
Fractional coordinates of all 8 atoms:
Li (0.1190, 0.6250, 0.9940)  4 Li 2.70-2.77, 2 Ga 2.77, 2 Al 2.78
Li (0.3750, 0.3690, 0.4940)  4 Li 2.70-2.77, 2 Ga 2.77, 2 Al 2.78
Li (0.6310, 0.1250, 0.0060)  4 Li 2.70-2.77, 2 Ga 2.77, 2 Al 2.78
Li (0.8750, 0.8810, 0.5060)  4 Li 2.70-2.77, 2 Ga 2.77, 2 Al 2.78
Al (0.2500, 0.7500, 0.5000)  4 Ga 2.74, 4 Li 2.78
Al (0.5000, 0.5000, 0.0000)  4 Ga 2.74, 4 Li 2.78
Ga (0.0000, 0.0000, 0.0000)  4 Al 2.74, 4 Li 2.77
Ga (0.7500, 0.2500, 0.5000)  4 Al 2.74, 4 Li 2.77

Results
As for the formation energy: 5 kJ/mol of formula units. The value obtained for the volume is 145 Å³ per cell. As for the density: 2.5 g/cm³. The value obtained for the total energy is -21.10 eV per cell.